1.
! RbGeAu | OQMD via LeMat-Bulk | PBE | relaxed; values from VASP
&SYSTEM
  ibrav = 0, nat = 12, ntyp = 3
/
ATOMIC_SPECIES
Rb 85.47 Rb.upf
Ge 72.64 Ge.upf
Au 196.97 Au.upf
CELL_PARAMETERS angstrom
7.2092 0.0000 0.0000
0.0000 7.2092 0.0000
0.0000 0.0000 7.2092
ATOMIC_POSITIONS crystal
Rb 0.0000 0.0000 0.0000
Rb 0.0000 0.5000 0.5000
Rb 0.5000 0.0000 0.5000
Rb 0.5000 0.5000 0.0000
Ge 0.0000 0.0000 0.5000
Ge 0.0000 0.5000 0.0000
Ge 0.5000 0.0000 0.0000
Ge 0.5000 0.5000 0.5000
Au 0.2500 0.2500 0.7500
Au 0.2500 0.7500 0.2500
Au 0.7500 0.2500 0.2500
Au 0.7500 0.7500 0.7500
! V (Å³/f.u.): 93.7
! Space-group type: No. 216
! Relative energy among the computed polymorphs (meV per atom): 593


2.
! ErScCF2 | OQMD via LeMat-Bulk | PBE | relaxed; values from VASP
&SYSTEM
  ibrav = 0, nat = 5, ntyp = 4
/
ATOMIC_SPECIES
Er 167.26 Er.upf
Sc 44.96 Sc.upf
C 12.01 C.upf
F 19.00 F.upf
CELL_PARAMETERS angstrom
3.4618 0.0000 0.0000
-1.7309 2.9980 0.0000
0.0000 0.0000 6.2376
ATOMIC_POSITIONS crystal
Er 0.0000 0.0000 0.0000
Sc 0.6667 0.3333 0.4113
C 0.3333 0.6667 0.2148
F 0.0000 0.0000 0.5755
F 0.6667 0.3333 0.8200
! V (Å³/f.u.): 64.7
! Space-group type: No. 156
! Total magnetic moment (Bohr magnetons per cell): 0.0
! Energy (eV for the cell shown): -35.9


3.
! ReSn2Mo | OQMD via LeMat-Bulk | PBE | relaxed; values from VASP
&SYSTEM
  ibrav = 0, nat = 16, ntyp = 3
/
ATOMIC_SPECIES
Re 186.21 Re.upf
Sn 118.71 Sn.upf
Mo 95.94 Mo.upf
CELL_PARAMETERS angstrom
6.6922 0.0000 0.0000
0.0000 6.6922 0.0000
0.0000 0.0000 6.6922
ATOMIC_POSITIONS crystal
Re 0.0000 0.0000 0.0000
Re 0.0000 0.5000 0.5000
Re 0.5000 0.0000 0.5000
Re 0.5000 0.5000 0.0000
Sn 0.0000 0.0000 0.5000
Sn 0.0000 0.5000 0.0000
Sn 0.2500 0.2500 0.7500
Sn 0.2500 0.7500 0.2500
Sn 0.5000 0.0000 0.0000
Sn 0.5000 0.5000 0.5000
Sn 0.7500 0.2500 0.2500
Sn 0.7500 0.7500 0.7500
Mo 0.2500 0.2500 0.2500
Mo 0.2500 0.7500 0.7500
Mo 0.7500 0.2500 0.7500
Mo 0.7500 0.7500 0.2500
! V (Å³/f.u.): 74.9
! Space-group type: No. 216
! Total magnetic moment (Bohr magnetons per cell): 0.0
! Energy (eV for the cell shown): -114.5


4.
! Dy2Y3Er2Ni2Te2 | OQMD via LeMat-Bulk | PBE | relaxed; values from VASP
&SYSTEM
  ibrav = 0, nat = 11, ntyp = 5
/
ATOMIC_SPECIES
Dy 162.50 Dy.upf
Y 88.91 Y.upf
Er 167.26 Er.upf
Ni 58.69 Ni.upf
Te 127.60 Te.upf
CELL_PARAMETERS angstrom
-1.9216 7.7953 4.7766
1.9216 -7.7953 4.7766
1.9216 7.7953 -4.7766
ATOMIC_POSITIONS crystal
Dy 0.1846 0.0000 0.1846
Dy 0.8154 0.0000 0.8154
Y 0.1674 0.7987 0.3687
Y 0.4300 0.7987 0.6313
Y 0.8807 0.3807 0.5000
Er 0.5026 0.6490 0.8535
Er 0.7955 0.6490 0.1465
Ni 0.0467 0.3085 0.7382
Ni 0.5703 0.3085 0.2618
Te 0.1448 0.1448 0.0000
Te 0.5450 0.0450 0.5000
! V (Å³/f.u.): 286.2
! Space-group type: No. 44
! Total magnetic moment (Bohr magnetons per cell): 0.0
! Relative energy among the computed polymorphs (meV per atom): 8


5.
! Pr3MgGa2Pt2Au | OQMD via LeMat-Bulk | PBE | relaxed; values from VASP
&SYSTEM
  ibrav = 0, nat = 9, ntyp = 5
/
ATOMIC_SPECIES
Pr 140.91 Pr.upf
Mg 24.30 Mg.upf
Ga 69.72 Ga.upf
Pt 195.08 Pt.upf
Au 196.97 Au.upf
CELL_PARAMETERS angstrom
4.0770 0.0000 0.0000
0.0000 6.5508 3.8037
0.0000 -6.5508 3.8037
ATOMIC_POSITIONS crystal
Pr 0.0000 0.0000 0.0000
Pr 0.0000 0.1822 0.6062
Pr 0.0000 0.6062 0.1822
Mg 0.5000 0.3484 0.3484
Ga 0.5000 0.5983 0.8497
Ga 0.5000 0.8497 0.5983
Pt 0.5000 0.2667 0.9340
Pt 0.5000 0.9340 0.2667
Au 0.0000 0.5932 0.5932
! V (Å³/f.u.): 203.2
! Space-group type: No. 38
! Total magnetic moment (Bohr magnetons per cell): 0.0
! Energy (eV for the cell shown): -45.1


6.
! NaNiTe | OQMD via LeMat-Bulk | PBE | relaxed; values from VASP
&SYSTEM
  ibrav = 0, nat = 12, ntyp = 3
/
ATOMIC_SPECIES
Na 22.99 Na.upf
Ni 58.69 Ni.upf
Te 127.60 Te.upf
CELL_PARAMETERS angstrom
6.5458 0.0000 0.0000
0.0000 6.5458 0.0000
0.0000 0.0000 6.5458
ATOMIC_POSITIONS crystal
Na 0.0000 0.0000 0.0000
Na 0.0000 0.5000 0.5000
Na 0.5000 0.0000 0.5000
Na 0.5000 0.5000 0.0000
Ni 0.2500 0.2500 0.7500
Ni 0.2500 0.7500 0.2500
Ni 0.7500 0.2500 0.2500
Ni 0.7500 0.7500 0.7500
Te 0.2500 0.2500 0.2500
Te 0.2500 0.7500 0.7500
Te 0.7500 0.2500 0.7500
Te 0.7500 0.7500 0.2500
! V (Å³/f.u.): 70.1
! Space-group type: No. 216
! Total magnetic moment (Bohr magnetons per cell): 4.2
! Energy (eV for the cell shown): -35.6


7.
! NbAlCd | OQMD via LeMat-Bulk | PBE | relaxed; values from VASP
&SYSTEM
  ibrav = 0, nat = 12, ntyp = 3
/
ATOMIC_SPECIES
Nb 92.91 Nb.upf
Al 26.98 Al.upf
Cd 112.41 Cd.upf
CELL_PARAMETERS angstrom
6.2516 0.0000 0.0000
0.0000 6.2516 0.0000
0.0000 0.0000 6.2516
ATOMIC_POSITIONS crystal
Nb 0.0000 0.0000 0.0000
Nb 0.0000 0.5000 0.5000
Nb 0.5000 0.0000 0.5000
Nb 0.5000 0.5000 0.0000
Al 0.2500 0.2500 0.7500
Al 0.2500 0.7500 0.2500
Al 0.7500 0.2500 0.2500
Al 0.7500 0.7500 0.7500
Cd 0.0000 0.0000 0.5000
Cd 0.0000 0.5000 0.0000
Cd 0.5000 0.0000 0.0000
Cd 0.5000 0.5000 0.5000
! V (Å³/f.u.): 61.1
! Space-group type: No. 216
! Total magnetic moment (Bohr magnetons per cell): 0.0
! Relative energy among the computed polymorphs (meV per atom): 0


8.
! UNbTe | OQMD via LeMat-Bulk | PBE | relaxed; values from VASP
&SYSTEM
  ibrav = 0, nat = 12, ntyp = 3
/
ATOMIC_SPECIES
U 238.03 U.upf
Nb 92.91 Nb.upf
Te 127.60 Te.upf
CELL_PARAMETERS angstrom
6.8241 0.0000 0.0000
0.0000 6.8241 0.0000
0.0000 0.0000 6.8241
ATOMIC_POSITIONS crystal
U 0.0000 0.0000 0.0000
U 0.0000 0.5000 0.5000
U 0.5000 0.0000 0.5000
U 0.5000 0.5000 0.0000
Nb 0.2500 0.2500 0.7500
Nb 0.2500 0.7500 0.2500
Nb 0.7500 0.2500 0.2500
Nb 0.7500 0.7500 0.7500
Te 0.2500 0.2500 0.2500
Te 0.2500 0.7500 0.7500
Te 0.7500 0.2500 0.7500
Te 0.7500 0.7500 0.2500
! V (Å³/f.u.): 79.4
! Space-group type: No. 216
! Total magnetic moment (Bohr magnetons per cell): 1.2
! Relative energy among the computed polymorphs (meV per atom): 537